Record 1
# Na5B7C3, optimized geometry, DFT GGA-PBE
data_Na5B7C3
_chemical_formula_sum 'Na10 B14 C6'
_cell_length_a 9.0941
_cell_length_b 9.0941
_cell_length_c 13.4241
_cell_angle_alpha 112.81
_cell_angle_beta 112.81
_cell_angle_gamma 17.77
_symmetry_space_group_name_H-M 'P 1'
_symmetry_Int_Tables_number 1
loop_
_symmetry_equiv_pos_as_xyz
'x,y,z'
loop_
_atom_site_label
_atom_site_type_symbol
_atom_site_fract_x
_atom_site_fract_y
_atom_site_fract_z
Na1 Na 0.9995 0.9995 0.0015
Na2 Na 0.2010 0.2010 0.9018
Na3 Na 0.2012 0.2012 0.3985
Na4 Na 0.4000 0.4000 0.3000
Na5 Na 0.4000 0.4000 0.8000
Na6 Na 0.5990 0.5990 0.6982
Na7 Na 0.5988 0.5988 0.2015
Na8 Na 0.8027 0.8027 0.1028
Na9 Na 0.8005 0.8005 0.5985
Na10 Na 0.9973 0.9973 0.4972
B1 B 0.6337 0.6337 0.0189
B2 B 0.7748 0.7748 0.7982
B3 B 0.8418 0.8418 0.9343
B4 B 0.5692 0.5692 0.8898
B5 B 0.0295 0.0295 0.3102
B6 B 0.7705 0.7705 0.2898
B7 B 0.0252 0.0252 0.8018
B8 B 0.1663 0.1663 0.5811
B9 B 0.2308 0.2308 0.7102
B10 B 0.9582 0.9582 0.6657
B11 B 0.4355 0.4355 0.1231
B12 B 0.1776 0.1776 0.1059
B13 B 0.6224 0.6224 0.4941
B14 B 0.3645 0.3645 0.4769
C1 C 0.8333 0.8333 0.4138
C2 C 0.9667 0.9667 0.1862
C3 C 0.2380 0.2380 0.2258
C4 C 0.3727 0.3727 0.9972
C5 C 0.4273 0.4273 0.6028
C6 C 0.5620 0.5620 0.3742
# Symmetry = C2/m (12)
# Raw total energy = -158.5 eV/cell



Record 2
# Y2TlIn3, optimized geometry, DFT GGA-PBE
data_Y2TlIn3
_chemical_formula_sum 'Y2 Tl1 In3'
_cell_length_a 4.6606
_cell_length_b 4.6806
_cell_length_c 7.5689
_cell_angle_alpha 90.00
_cell_angle_beta 107.93
_cell_angle_gamma 90.00
_symmetry_space_group_name_H-M 'P 1'
_symmetry_Int_Tables_number 1
loop_
_symmetry_equiv_pos_as_xyz
'x,y,z'
loop_
_atom_site_label
_atom_site_type_symbol
_atom_site_fract_x
_atom_site_fract_y
_atom_site_fract_z
Y1 Y 0.1546 0.5000 0.3093
Y2 Y 0.8454 0.5000 0.6907
Tl1 Tl 0.0000 0.0000 0.0000
In1 In 0.3218 0.0000 0.6436
In2 In 0.6782 0.0000 0.3564
In3 In 0.5000 0.5000 0.0000
# Symmetry = Cmmm (65)
# Raw total energy = -26.0 eV/cell



Record 3
# Tm2CdAu6, optimized geometry, DFT GGA-PBE
data_Tm2CdAu6
_chemical_formula_sum 'Tm4 Cd2 Au12'
_cell_length_a 5.1839
_cell_length_b 9.0369
_cell_length_c 9.0369
_cell_angle_alpha 120.50
_cell_angle_beta 90.11
_cell_angle_gamma 90.11
_symmetry_space_group_name_H-M 'P 1'
_symmetry_Int_Tables_number 1
loop_
_symmetry_equiv_pos_as_xyz
'x,y,z'
loop_
_atom_site_label
_atom_site_type_symbol
_atom_site_fract_x
_atom_site_fract_y
_atom_site_fract_z
Tm1 Tm 0.5001 0.6614 0.8385
Tm2 Tm 0.9999 0.1615 0.3386
Tm3 Tm 0.4999 0.3386 0.1615
Tm4 Tm 0.0001 0.8385 0.6614
Cd1 Cd 0.2500 0.2499 0.7501
Cd2 Cd 0.7500 0.7501 0.2499
Au1 Au 0.5009 0.6664 0.5075
Au2 Au 0.9991 0.4925 0.3336
Au3 Au 0.4991 0.3336 0.4925
Au4 Au 0.0009 0.5075 0.6664
Au5 Au 0.2513 0.9127 0.4126
Au6 Au 0.2487 0.5874 0.0873
Au7 Au 0.7487 0.0873 0.5874
Au8 Au 0.7513 0.4126 0.9127
Au9 Au 0.9992 0.8335 0.9924
Au10 Au 0.5008 0.0076 0.1665
Au11 Au 0.0008 0.1665 0.0076
Au12 Au 0.4992 0.9924 0.8335
# Symmetry = C2/m (12)
# Raw total energy = -70.0 eV/cell



Record 4
# MgAgPb2, optimized geometry, DFT GGA-PBE
data_MgAgPb2
_chemical_formula_sum 'Mg2 Ag2 Pb4'
_cell_length_a 8.3183
_cell_length_b 8.3183
_cell_length_c 6.6737
_cell_angle_alpha 51.45
_cell_angle_beta 51.45
_cell_angle_gamma 90.00
_symmetry_space_group_name_H-M 'P 1'
_symmetry_Int_Tables_number 1
loop_
_symmetry_equiv_pos_as_xyz
'x,y,z'
loop_
_atom_site_label
_atom_site_type_symbol
_atom_site_fract_x
_atom_site_fract_y
_atom_site_fract_z
Pb1 Pb 0.6492 0.1250 0.2500
Pb2 Pb 0.1008 0.6250 0.2500
Pb3 Pb 0.3750 0.3508 0.7500
Pb4 Pb 0.8750 0.8992 0.7500
Mg1 Mg 0.5000 0.5000 0.0000
Mg2 Mg 0.2500 0.7500 0.5000
Ag1 Ag 0.0000 0.0000 0.0000
Ag2 Ag 0.7500 0.2500 0.5000
# Symmetry = I-42d (122)
# Raw total energy = -22.5 eV/cell



Record 5
# CaAlSiIr, optimized geometry, DFT GGA-PBE
data_CaAlSiIr
_chemical_formula_sum 'Ca1 Al1 Si1 Ir1'
_cell_length_a 4.2501
_cell_length_b 4.2501
_cell_length_c 5.7926
_cell_angle_alpha 68.48
_cell_angle_beta 68.48
_cell_angle_gamma 60.00
_symmetry_space_group_name_H-M 'P 1'
_symmetry_Int_Tables_number 1
loop_
_symmetry_equiv_pos_as_xyz
'x,y,z'
loop_
_atom_site_label
_atom_site_type_symbol
_atom_site_fract_x
_atom_site_fract_y
_atom_site_fract_z
Ca1 Ca 0.8126 0.8126 0.5622
Al1 Al 0.2756 0.2756 0.1732
Si1 Si 0.0073 0.0073 0.9780
Ir1 Ir 0.6304 0.6304 0.1089
# Formation energy from raw total energies = -14.379 kcal/mol of atoms
# Symmetry = R3m (160)



Record 6
# La6Pr8Sn, optimized geometry, DFT GGA-PBE
data_La6Pr8Sn
_chemical_formula_sum 'La6 Pr8 Sn1'
_cell_length_a 9.2871
_cell_length_b 9.2871
_cell_length_c 8.9182
_cell_angle_alpha 58.62
_cell_angle_beta 58.62
_cell_angle_gamma 60.00
_symmetry_space_group_name_H-M 'P 1'
_symmetry_Int_Tables_number 1
loop_
_symmetry_equiv_pos_as_xyz
'x,y,z'
loop_
_atom_site_label
_atom_site_type_symbol
_atom_site_fract_x
_atom_site_fract_y
_atom_site_fract_z
La1 La 0.0870 0.5494 0.1235
La2 La 0.7599 0.9130 0.8765
La3 La 0.4506 0.7599 0.8765
La4 La 0.5494 0.2401 0.1235
La5 La 0.2401 0.0870 0.1235
La6 La 0.9130 0.4506 0.8765
Pr1 Pr 0.8894 0.3008 0.5878
Pr2 Pr 0.7779 0.1106 0.4122
Pr3 Pr 0.6992 0.7779 0.4122
Pr4 Pr 0.4215 0.4215 0.7355
Pr5 Pr 0.5785 0.5785 0.2645
Pr6 Pr 0.3008 0.2221 0.5878
Pr7 Pr 0.2221 0.8894 0.5878
Pr8 Pr 0.1106 0.6992 0.4122
Sn1 Sn 0.0000 0.0000 0.0000
# Symmetry = R-3 (148)
# Raw total energy = -72.5 eV/cell



Record 7
# NbCr2Ge, optimized geometry, DFT GGA-PBE
data_NbCr2Ge
_chemical_formula_sum 'Nb2 Cr4 Ge2'
_cell_length_a 6.9154
_cell_length_b 6.9154
_cell_length_c 5.5432
_cell_angle_alpha 51.41
_cell_angle_beta 51.41
_cell_angle_gamma 90.00
_symmetry_space_group_name_H-M 'P 1'
_symmetry_Int_Tables_number 1
loop_
_symmetry_equiv_pos_as_xyz
'x,y,z'
loop_
_atom_site_label
_atom_site_type_symbol
_atom_site_fract_x
_atom_site_fract_y
_atom_site_fract_z
Cr1 Cr 0.6039 0.1250 0.2500
Cr2 Cr 0.1461 0.6250 0.2500
Cr3 Cr 0.3750 0.3961 0.7500
Cr4 Cr 0.8750 0.8539 0.7500
Nb1 Nb 0.0000 0.0000 0.0000
Nb2 Nb 0.7500 0.2500 0.5000
Ge1 Ge 0.5000 0.5000 0.0000
Ge2 Ge 0.2500 0.7500 0.5000
# Symmetry = I-42d (122)
# Raw total energy = -62.5 eV/cell



Record 8
# TaTi3Ir2, optimized geometry, DFT GGA-PBE
data_TaTi3Ir2
_chemical_formula_sum 'Ta1 Ti3 Ir2'
_cell_length_a 3.1496
_cell_length_b 3.1496
_cell_length_c 9.5730
_cell_angle_alpha 90.00
_cell_angle_beta 90.00
_cell_angle_gamma 90.00
_symmetry_space_group_name_H-M 'P 1'
_symmetry_Int_Tables_number 1
loop_
_symmetry_equiv_pos_as_xyz
'x,y,z'
loop_
_atom_site_label
_atom_site_type_symbol
_atom_site_fract_x
_atom_site_fract_y
_atom_site_fract_z
Ta1 Ta 0.5000 0.5000 0.5000
Ti1 Ti 0.0000 0.0000 0.0000
Ti2 Ti 0.0000 0.0000 0.6776
Ti3 Ti 0.0000 0.0000 0.3224
Ir1 Ir 0.5000 0.5000 0.8424
Ir2 Ir 0.5000 0.5000 0.1576
# Symmetry = P4/mmm (123)
# Raw total energy = -56.9 eV/cell



Record 9
# Tl2HgMo, optimized geometry, DFT GGA-PBE
data_Tl2HgMo
_chemical_formula_sum 'Tl2 Hg1 Mo1'
_cell_length_a 5.0031
_cell_length_b 3.1587
_cell_length_c 5.9636
_cell_angle_alpha 73.77
_cell_angle_beta 90.00
_cell_angle_gamma 90.00
_symmetry_space_group_name_H-M 'P 1'
_symmetry_Int_Tables_number 1
loop_
_symmetry_equiv_pos_as_xyz
'x,y,z'
loop_
_atom_site_label
_atom_site_type_symbol
_atom_site_fract_x
_atom_site_fract_y
_atom_site_fract_z
Hg1 Hg 0.0000 0.6967 0.4825
Mo1 Mo 0.5000 0.5479 0.7822
Tl1 Tl 0.0000 0.9614 0.9378
Tl2 Tl 0.5000 0.2940 0.2976
# Symmetry = Pm (6)
# Raw total energy = -13.3 eV/cell



Record 10
# ScAlIn, optimized geometry, DFT GGA-PBE
data_ScAlIn
_chemical_formula_sum 'Sc1 Al1 In1'
_cell_length_a 6.4228
_cell_length_b 6.4228
_cell_length_c 6.4228
_cell_angle_alpha 150.60
_cell_angle_beta 150.60
_cell_angle_gamma 42.06
_symmetry_space_group_name_H-M 'P 1'
_symmetry_Int_Tables_number 1
loop_
_symmetry_equiv_pos_as_xyz
'x,y,z'
loop_
_atom_site_label
_atom_site_type_symbol
_atom_site_fract_x
_atom_site_fract_y
_atom_site_fract_z
Sc1 Sc 0.6557 0.6557 0.0000
Al1 Al 0.0041 0.0041 0.0000
In1 In 0.3402 0.3402 0.0000
# Symmetry = I4mm (107)
# Raw total energy = -13.4 eV/cell



Record 11
# TaBeTe2, optimized geometry, DFT GGA-PBE
data_TaBeTe2
_chemical_formula_sum 'Ta1 Be1 Te2'
_cell_length_a 3.4517
_cell_length_b 3.4517
_cell_length_c 7.3731
_cell_angle_alpha 90.00
_cell_angle_beta 90.00
_cell_angle_gamma 90.00
_symmetry_space_group_name_H-M 'P 1'
_symmetry_Int_Tables_number 1
loop_
_symmetry_equiv_pos_as_xyz
'x,y,z'
loop_
_atom_site_label
_atom_site_type_symbol
_atom_site_fract_x
_atom_site_fract_y
_atom_site_fract_z
Be1 Be 0.0000 0.0000 0.5517
Te1 Te 0.0000 0.0000 0.9064
Te2 Te 0.5000 0.5000 0.3356
Ta1 Ta 0.5000 0.5000 0.7063
# Formation energy from raw total energies = 3.369 kcal/mol of atoms
# Symmetry = P4mm (99)



Record 12
# RbLiH2, optimized geometry, DFT GGA-PBE
data_RbLiH2
_chemical_formula_sum 'Rb1 Li1 H2'
_cell_length_a 3.1356
_cell_length_b 3.1356
_cell_length_c 6.4325
_cell_angle_alpha 90.00
_cell_angle_beta 90.00
_cell_angle_gamma 90.00
_symmetry_space_group_name_H-M 'P 1'
_symmetry_Int_Tables_number 1
loop_
_symmetry_equiv_pos_as_xyz
'x,y,z'
loop_
_atom_site_label
_atom_site_type_symbol
_atom_site_fract_x
_atom_site_fract_y
_atom_site_fract_z
H1 H 0.0000 0.0000 0.7882
H2 H 0.0000 0.0000 0.2118
Rb1 Rb 0.5000 0.5000 0.5000
Li1 Li 0.5000 0.5000 0.0000
# Symmetry = P4/mmm (123)
# Raw total energy = -9.4 eV/cell



Record 13
# Re2POs, optimized geometry, DFT GGA-PBE
data_Re2POs
_chemical_formula_sum 'Re2 P1 Os1'
_cell_length_a 3.9317
_cell_length_b 2.8159
_cell_length_c 5.2711
_cell_angle_alpha 76.23
_cell_angle_beta 90.00
_cell_angle_gamma 90.00
_symmetry_space_group_name_H-M 'P 1'
_symmetry_Int_Tables_number 1
loop_
_symmetry_equiv_pos_as_xyz
'x,y,z'
loop_
_atom_site_label
_atom_site_type_symbol
_atom_site_fract_x
_atom_site_fract_y
_atom_site_fract_z
Re1 Re 0.0000 0.1331 0.7341
Re2 Re 0.0000 0.8669 0.2659
P1 P 0.5000 0.5000 0.5000
Os1 Os 0.5000 0.5000 0.0000
# Symmetry = P2/m (10)
# Raw total energy = -41.1 eV/cell



Record 14
# LiNb2Rh6, optimized geometry, DFT GGA-PBE
data_LiNb2Rh6
_chemical_formula_sum 'Li1 Nb2 Rh6'
_cell_length_a 4.5644
_cell_length_b 7.2152
_cell_length_c 6.0298
_cell_angle_alpha 126.75
_cell_angle_beta 112.23
_cell_angle_gamma 90.00
_symmetry_space_group_name_H-M 'P 1'
_symmetry_Int_Tables_number 1
loop_
_symmetry_equiv_pos_as_xyz
'x,y,z'
loop_
_atom_site_label
_atom_site_type_symbol
_atom_site_fract_x
_atom_site_fract_y
_atom_site_fract_z
Li1 Li 0.0000 0.0000 0.0000
Nb1 Nb 0.6769 0.6771 0.3541
Nb2 Nb 0.3231 0.3229 0.6459
Rh1 Rh 0.1626 0.4639 0.3254
Rh2 Rh 0.8374 0.1385 0.6746
Rh3 Rh 0.8374 0.5361 0.6746
Rh4 Rh 0.5000 0.1973 0.0000
Rh5 Rh 0.1626 0.8615 0.3254
Rh6 Rh 0.5000 0.8027 0.0000
# Symmetry = Immm (71)
# Raw total energy = -67.1 eV/cell



Record 15
# Rb3Dy2BiTe6, optimized geometry, DFT GGA-PBE
data_Rb3Dy2BiTe6
_chemical_formula_sum 'Rb3 Dy2 Bi1 Te6'
_cell_length_a 7.9141
_cell_length_b 7.9141
_cell_length_c 8.9479
_cell_angle_alpha 98.47
_cell_angle_beta 98.47
_cell_angle_gamma 120.00
_symmetry_space_group_name_H-M 'P 1'
_symmetry_Int_Tables_number 1
loop_
_symmetry_equiv_pos_as_xyz
'x,y,z'
loop_
_atom_site_label
_atom_site_type_symbol
_atom_site_fract_x
_atom_site_fract_y
_atom_site_fract_z
Rb1 Rb 0.1649 0.8351 0.5000
Rb2 Rb 0.8351 0.1649 0.5000
Rb3 Rb 0.5000 0.5000 0.5000
Dy1 Dy 0.3331 0.6669 0.0000
Dy2 Dy 0.6669 0.3331 0.0000
Bi1 Bi 0.0000 0.0000 0.0000
Te1 Te 0.9334 0.5947 0.8002
Te2 Te 0.7277 0.7277 0.1993
Te3 Te 0.0666 0.4053 0.1998
Te4 Te 0.5947 0.9334 0.8002
Te5 Te 0.2723 0.2723 0.8007
Te6 Te 0.4053 0.0666 0.1998
# Formation energy from raw total energies = -25.951 kcal/mol of atoms
# Symmetry = C2/m (12)



Record 16
# Pr2Dy2Er, optimized geometry, DFT GGA-PBE
data_Pr2Dy2Er
_chemical_formula_sum 'Pr4 Dy4 Er2'
_cell_length_a 6.3568
_cell_length_b 8.5720
_cell_length_c 9.6796
_cell_angle_alpha 43.41
_cell_angle_beta 70.83
_cell_angle_gamma 68.24
_symmetry_space_group_name_H-M 'P 1'
_symmetry_Int_Tables_number 1
loop_
_symmetry_equiv_pos_as_xyz
'x,y,z'
loop_
_atom_site_label
_atom_site_type_symbol
_atom_site_fract_x
_atom_site_fract_y
_atom_site_fract_z
Pr1 Pr 0.7856 0.7553 0.8475
Pr2 Pr 0.3884 0.7447 0.6525
Pr3 Pr 0.2144 0.2447 0.1525
Pr4 Pr 0.6116 0.2553 0.3475
Dy1 Dy 0.8201 0.2414 0.9520
Dy2 Dy 0.0135 0.2586 0.5480
Dy3 Dy 0.1799 0.7586 0.0480
Dy4 Dy 0.9865 0.7414 0.4520
Er1 Er 0.5845 0.7500 0.2500
Er2 Er 0.4155 0.2500 0.7500
# Symmetry = C2/c (15)
# Raw total energy = -46.4 eV/cell



Record 17
# PmTmScHg, optimized geometry, DFT GGA-PBE
data_PmTmScHg
_chemical_formula_sum 'Pm1 Tm1 Sc1 Hg1'
_cell_length_a 5.2729
_cell_length_b 5.2729
_cell_length_c 5.2729
_cell_angle_alpha 60.00
_cell_angle_beta 60.00
_cell_angle_gamma 60.00
_symmetry_space_group_name_H-M 'P 1'
_symmetry_Int_Tables_number 1
loop_
_symmetry_equiv_pos_as_xyz
'x,y,z'
loop_
_atom_site_label
_atom_site_type_symbol
_atom_site_fract_x
_atom_site_fract_y
_atom_site_fract_z
Sc1 Sc 0.0000 0.0000 0.0000
Tm1 Tm 0.5000 0.5000 0.5000
Hg1 Hg 0.7500 0.7500 0.7500
Pm1 Pm 0.2500 0.2500 0.2500
# Symmetry = F-43m (216)
# Raw total energy = -15.9 eV/cell



Record 18
# V6Co8Ni, optimized geometry, DFT GGA-PBE
data_V6Co8Ni
_chemical_formula_sum 'V6 Co8 Ni1'
_cell_length_a 6.4354
_cell_length_b 6.4354
_cell_length_c 6.2242
_cell_angle_alpha 58.87
_cell_angle_beta 58.87
_cell_angle_gamma 60.00
_symmetry_space_group_name_H-M 'P 1'
_symmetry_Int_Tables_number 1
loop_
_symmetry_equiv_pos_as_xyz
'x,y,z'
loop_
_atom_site_label
_atom_site_type_symbol
_atom_site_fract_x
_atom_site_fract_y
_atom_site_fract_z
V1 V 0.3890 0.1351 0.8452
V2 V 0.8649 0.3694 0.1548
V3 V 0.3694 0.6110 0.1548
V4 V 0.6306 0.3890 0.8452
V5 V 0.1351 0.6306 0.8452
V6 V 0.6110 0.8649 0.1548
Co1 Co 0.6249 0.1332 0.3604
Co2 Co 0.8668 0.1185 0.6396
Co3 Co 0.1185 0.3751 0.6396
Co4 Co 0.7494 0.7494 0.7517
Co5 Co 0.2506 0.2506 0.2483
Co6 Co 0.8815 0.6249 0.3604
Co7 Co 0.1332 0.8815 0.3604
Co8 Co 0.3751 0.8668 0.6396
Ni1 Ni 0.0000 0.0000 0.0000
# Symmetry = R-3 (148)
# Raw total energy = -116.7 eV/cell



Record 19
# SiIrAu, optimized geometry, DFT GGA-PBE
data_SiIrAu
_chemical_formula_sum 'Si1 Ir1 Au1'
_cell_length_a 4.0014
_cell_length_b 4.0014
_cell_length_c 3.4964
_cell_angle_alpha 90.00
_cell_angle_beta 90.00
_cell_angle_gamma 120.00
_symmetry_space_group_name_H-M 'P 1'
_symmetry_Int_Tables_number 1
loop_
_symmetry_equiv_pos_as_xyz
'x,y,z'
loop_
_atom_site_label
_atom_site_type_symbol
_atom_site_fract_x
_atom_site_fract_y
_atom_site_fract_z
Au1 Au 0.0000 0.0000 0.9807
Ir1 Ir 0.6667 0.3333 0.4706
Si1 Si 0.3333 0.6667 0.5487
# Formation energy from raw total energies = -3.860 kcal/mol of atoms
# Symmetry = P3m1 (156)



Record 20
# Tb5YTh, optimized geometry, DFT GGA-PBE
data_Tb5YTh
_chemical_formula_sum 'Tb10 Y2 Th2'
_cell_length_a 6.4835
_cell_length_b 6.4935
_cell_length_c 12.6885
_cell_angle_alpha 94.67
_cell_angle_beta 90.00
_cell_angle_gamma 119.95
_symmetry_space_group_name_H-M 'P 1'
_symmetry_Int_Tables_number 1
loop_
_symmetry_equiv_pos_as_xyz
'x,y,z'
loop_
_atom_site_label
_atom_site_type_symbol
_atom_site_fract_x
_atom_site_fract_y
_atom_site_fract_z
Tb1 Tb 0.2361 0.4683 0.1808
Tb2 Tb 0.6619 0.3256 0.5552
Tb3 Tb 0.2322 0.4683 0.6808
Tb4 Tb 0.2611 0.0000 0.2500
Tb5 Tb 0.3363 0.6744 0.9448
Tb6 Tb 0.6637 0.3256 0.0552
Tb7 Tb 0.7389 0.0000 0.7500
Tb8 Tb 0.7678 0.5317 0.3192
Tb9 Tb 0.3381 0.6744 0.4448
Tb10 Tb 0.7639 0.5317 0.8192
Y1 Y 0.7413 0.0000 0.2500
Y2 Y 0.2587 0.0000 0.7500
Th1 Th 0.0000 0.0000 0.0000
Th2 Th 0.0000 0.0000 0.5000
# Symmetry = C2/c (15)
# Raw total energy = -71.1 eV/cell